# 1
The following is a DFT calculation (PBE-GGA) of NbAsWBr2 after structural relaxation.

Lattice parameters (Å, degrees): 5.1327 5.1327 4.9247 90.00 90.00 90.00
Closest atoms and distances in Å follow each position.
Fractional coordinates of all 5 atoms:
W (0.0000, 0.0000, 0.0000)  2 As 2.46, 4 Br 2.57
Br (0.5000, 0.0000, 0.0000)  2 W 2.57
Br (0.0000, 0.5000, 0.0000)  2 W 2.57
Nb (0.5000, 0.5000, 0.5000)  8 Br 3.56, 4 As 3.63
As (0.0000, 0.0000, 0.5000)  2 W 2.46

DOS(E_F): 1.26 states/eV/atom
VASP energy: -5.061 eV per atom
space-group type: P4/mmm, No. 123
calculated volume: 25.95 Å³ per atom
energy above the most stable polymorph in this dataset: 0.0 meV per atom

# 2
The following is a DFT calculation (PBE-GGA) of NbAs2WBr after structural relaxation.

Lattice parameters (Å, degrees): 5.0649 5.0649 4.9749 90.00 90.00 90.00
Closest atoms and distances in Å follow each position.
Fractional coordinates of all 5 atoms:
As (0.0000, 0.5000, 0.0000)  2 Nb 2.53
As (0.5000, 0.0000, 0.0000)  2 Nb 2.53
Nb (0.0000, 0.0000, 0.0000)  2 Br 2.49, 4 As 2.53
Br (0.0000, 0.0000, 0.5000)  2 Nb 2.49
W (0.5000, 0.5000, 0.5000)  8 As 3.55, 4 Br 3.58

DOS(E_F): 0.89 states/eV/atom
VASP energy: -5.561 eV per atom
space-group type: P4/mmm, No. 123
calculated volume: 25.52 Å³ per atom
energy above the most stable polymorph in this dataset: 200.7 meV per atom

# 3
The following is a DFT calculation (PBE-GGA) of NbAs2WBr after structural relaxation.

Lattice parameters (Å, degrees): 4.8502 4.8502 5.2366 90.00 90.00 90.00
Closest atoms and distances in Å follow each position.
Fractional coordinates of all 5 atoms:
Nb (0.5000, 0.5000, 0.5000)  4 Br 3.43, 8 As 3.57
As (0.5000, 0.0000, 0.0000)  2 W 2.43
As (0.0000, 0.5000, 0.0000)  2 W 2.43
W (0.0000, 0.0000, 0.0000)  4 As 2.43, 2 Br 2.62
Br (0.0000, 0.0000, 0.5000)  2 W 2.62

DOS(E_F): 1.01 states/eV/atom
VASP energy: -5.761 eV per atom
space-group type: P4/mmm, No. 123
calculated volume: 24.64 Å³ per atom
energy above the most stable polymorph in this dataset: 0.0 meV per atom

# 4
The following is a DFT calculation (PBE-GGA) of YNbAs2Br after structural relaxation.

Lattice parameters (Å, degrees): 5.0510 5.0510 5.0238 90.00 90.00 90.00
Closest atoms and distances in Å follow each position.
Fractional coordinates of all 5 atoms:
Nb (0.0000, 0.0000, 0.0000)  2 Br 2.51, 4 As 2.53
Br (0.0000, 0.0000, 0.5000)  2 Nb 2.51
As (0.0000, 0.5000, 0.0000)  2 Nb 2.53
As (0.5000, 0.0000, 0.0000)  2 Nb 2.53
Y (0.5000, 0.5000, 0.5000)  8 As 3.56, 4 Br 3.57

DOS(E_F): 0.70 states/eV/atom
VASP energy: -5.708 eV per atom
space-group type: P4/mmm, No. 123
calculated volume: 25.63 Å³ per atom
energy above the most stable polymorph in this dataset: 0.0 meV per atom

# 5
The following is a DFT calculation (PBE-GGA) of YNbAsBr2 after structural relaxation.

Lattice parameters (Å, degrees): 5.0817 5.0817 5.1952 90.00 90.00 90.00
Closest atoms and distances in Å follow each position.
Fractional coordinates of all 5 atoms:
Y (0.5000, 0.5000, 0.5000)  4 As 3.59, 8 Br 3.63
As (0.0000, 0.0000, 0.5000)  2 Nb 2.60
Br (0.5000, 0.0000, 0.0000)  2 Nb 2.54
Br (0.0000, 0.5000, 0.0000)  2 Nb 2.54
Nb (0.0000, 0.0000, 0.0000)  4 Br 2.54, 2 As 2.60

DOS(E_F): 0.82 states/eV/atom
VASP energy: -5.047 eV per atom
space-group type: P4/mmm, No. 123
calculated volume: 26.83 Å³ per atom
energy above the most stable polymorph in this dataset: 0.0 meV per atom

# 6
The following is a DFT calculation (PBE-GGA) of YNbAs2Br after structural relaxation.

Lattice parameters (Å, degrees): 5.3961 5.3961 5.3222 90.00 90.00 90.00
Closest atoms and distances in Å follow each position.
Fractional coordinates of all 5 atoms:
Nb (0.5000, 0.5000, 0.5000)  8 As 3.79, 4 Br 3.82
Br (0.0000, 0.0000, 0.5000)  2 Y 2.66
As (0.0000, 0.5000, 0.0000)  2 Y 2.70
As (0.5000, 0.0000, 0.0000)  2 Y 2.70
Y (0.0000, 0.0000, 0.0000)  2 Br 2.66, 4 As 2.70

DOS(E_F): 1.40 states/eV/atom
VASP energy: -4.938 eV per atom
space-group type: P4/mmm, No. 123
calculated volume: 30.99 Å³ per atom
energy above the most stable polymorph in this dataset: 770.0 meV per atom

# 7
The following is a DFT calculation (PBE-GGA) of YNbAsBr2 after structural relaxation.

Lattice parameters (Å, degrees): 5.3511 5.3511 5.7206 90.00 90.00 90.00
Closest atoms and distances in Å follow each position.
Fractional coordinates of all 5 atoms:
Y (0.0000, 0.0000, 0.0000)  4 Br 2.68, 2 As 2.86
Nb (0.5000, 0.5000, 0.5000)  4 As 3.78, 8 Br 3.92
Br (0.0000, 0.5000, 0.0000)  2 Y 2.68
Br (0.5000, 0.0000, 0.0000)  2 Y 2.68
As (0.0000, 0.0000, 0.5000)  2 Y 2.86

DOS(E_F): 1.81 states/eV/atom
VASP energy: -4.758 eV per atom
space-group type: P4/mmm, No. 123
calculated volume: 32.76 Å³ per atom
energy above the most stable polymorph in this dataset: 289.1 meV per atom

# 8
The following is a DFT calculation (PBE-GGA) of Nb2ZnAsBr after structural relaxation.

Lattice parameters (Å, degrees): 4.9507 4.5801 4.9507 90.00 90.00 90.00
Closest atoms and distances in Å follow each position.
Fractional coordinates of all 5 atoms:
Nb (0.0000, 0.0000, 0.5000)  2 As 2.48
Nb (0.5000, 0.0000, 0.0000)  2 As 2.48
Br (0.5000, 0.5000, 0.5000)  8 Nb 3.37, 4 Zn 3.50
As (0.0000, 0.0000, 0.0000)  2 Zn 2.29, 4 Nb 2.48
Zn (0.0000, 0.5000, 0.0000)  2 As 2.29

DOS(E_F): 0.99 states/eV/atom
VASP energy: -4.747 eV per atom
space-group type: P4/mmm, No. 123
calculated volume: 22.45 Å³ per atom

# 9
The following is a DFT calculation (PBE-GGA) of ZrNbAs2Br after structural relaxation.

Lattice parameters (Å, degrees): 5.0005 5.0005 5.0435 90.00 90.00 90.00
Closest atoms and distances in Å follow each position.
Fractional coordinates of all 5 atoms:
As (0.0000, 0.5000, 0.0000)  2 Nb 2.50
As (0.5000, 0.0000, 0.0000)  2 Nb 2.50
Zr (0.5000, 0.5000, 0.5000)  4 Br 3.54, 8 As 3.55
Nb (0.0000, 0.0000, 0.0000)  4 As 2.50, 2 Br 2.52
Br (0.0000, 0.0000, 0.5000)  2 Nb 2.52

DOS(E_F): 0.83 states/eV/atom
VASP energy: -5.563 eV per atom
space-group type: P4/mmm, No. 123
calculated volume: 25.22 Å³ per atom
energy above the most stable polymorph in this dataset: 0.0 meV per atom

# 10
The following is a DFT calculation (PBE-GGA) of ZrNbAsBr2 after structural relaxation.

Lattice parameters (Å, degrees): 5.0551 5.0551 5.1718 90.00 90.00 90.00
Closest atoms and distances in Å follow each position.
Fractional coordinates of all 5 atoms:
As (0.0000, 0.0000, 0.5000)  2 Nb 2.59
Br (0.0000, 0.5000, 0.0000)  2 Nb 2.53
Br (0.5000, 0.0000, 0.0000)  2 Nb 2.53
Nb (0.0000, 0.0000, 0.0000)  4 Br 2.53, 2 As 2.59
Zr (0.5000, 0.5000, 0.5000)  4 As 3.57, 8 Br 3.62

DOS(E_F): 1.30 states/eV/atom
VASP energy: -4.928 eV per atom
space-group type: P4/mmm, No. 123
calculated volume: 26.43 Å³ per atom
energy above the most stable polymorph in this dataset: 21.5 meV per atom

# 11
The following is a DFT calculation (PBE-GGA) of ZrNbAs2Br after structural relaxation.

Lattice parameters (Å, degrees): 5.0800 4.6385 5.0800 90.00 90.00 90.00
Closest atoms and distances in Å follow each position.
Fractional coordinates of all 5 atoms:
As (0.0000, 0.0000, 0.5000)  2 Br 2.54
As (0.5000, 0.0000, 0.0000)  2 Br 2.54
Br (0.0000, 0.0000, 0.0000)  2 Nb 2.32, 4 As 2.54
Zr (0.5000, 0.5000, 0.5000)  8 As 3.44, 4 Nb 3.59
Nb (0.0000, 0.5000, 0.0000)  2 Br 2.32

DOS(E_F): 0.65 states/eV/atom
VASP energy: -4.832 eV per atom
space-group type: P4/mmm, No. 123
calculated volume: 23.94 Å³ per atom
energy above the most stable polymorph in this dataset: 731.1 meV per atom

# 12
The following is a DFT calculation (PBE-GGA) of ZrNbAsBr2 after structural relaxation.

Lattice parameters (Å, degrees): 5.1842 5.1842 5.3748 90.00 90.00 90.00
Closest atoms and distances in Å follow each position.
Fractional coordinates of all 5 atoms:
Zr (0.0000, 0.0000, 0.0000)  4 Br 2.59, 2 As 2.69
Nb (0.5000, 0.5000, 0.5000)  4 As 3.67, 8 Br 3.73
Br (0.5000, 0.0000, 0.0000)  2 Zr 2.59
Br (0.0000, 0.5000, 0.0000)  2 Zr 2.59
As (0.0000, 0.0000, 0.5000)  2 Zr 2.69

DOS(E_F): 1.44 states/eV/atom
VASP energy: -4.949 eV per atom
space-group type: P4/mmm, No. 123
calculated volume: 28.89 Å³ per atom
energy above the most stable polymorph in this dataset: 0.0 meV per atom